First-principles (PBE) data for a geometry-optimized CePr3Pu2S6 structure, as listed in the Alexandria database.

E_form (uncorrected) = -1953.0 meV/atom

Cell: 6.992 12.109 7.023 Å, 90.00 109.37 90.00°
Space group C2/m (No. 12)
Unique sites:
Ce  0.000  0.000  0.000 (multiplicity 2)
Pr  0.000  0.166  0.500 (multiplicity 4)
Pr  0.000  0.500  0.500 (multiplicity 2)
Pu  0.000  0.333  0.000 (multiplicity 4)
S  0.243  0.500  0.238 (multiplicity 4)
S  0.248  0.168  0.239 (multiplicity 8)